This record from the Alexandria database describes crystalline Mg2InPt at its relaxed geometry. The functional is GGA-PBEsol.

Calculated values
Magnetization = 0.000 μB per cell
Raw total energy = -3.82 eV per atom
Calculated formation energy = -471 meV per atom
Space-group type = I-4m2

a b c (Å): 4.229 4.229 4.969
angles (deg): 115.18 115.18 90.00
Element x y z (fractional)
Mg 0.500 0.500 0.000
Mg 0.750 0.250 0.500
Pt 0.000 0.000 0.000
In 0.250 0.750 0.500


This record from the Alexandria database describes crystalline MgInPt at its relaxed geometry. The functional is GGA-PBEsol.

Calculated values
Magnetization = 0.000 μB per cell
Raw total energy = -4.42 eV per atom
Calculated formation energy = -531 meV per atom
Space-group type = I4mm

a b c (Å): 3.466 3.466 5.044
angles (deg): 110.09 110.09 90.00
Element x y z (fractional)
Mg 0.677 0.677 0.355
Pt 0.328 0.328 0.656
In 0.995 0.995 0.989


Question: Among the records above, which one has the highest calculated formation energy?
Answer: Mg2InPt


Question: Number 1 is which compound?
Answer: Mg2InPt